Record 1
Ti2OsRu | the Alexandria database | GGA-PBE | relaxed; energy of formation = -0.740 eV/atom; DOS at the Fermi energy = 0.9 states/eV/f.u.; space group = No. 225
1.0
0.0000 3.0870 3.0870
3.0870 0.0000 3.0870
3.0870 3.0870 0.0000
Ti Os Ru
2 1 1
direct
0.2500 0.2500 0.2500 Ti
0.7500 0.7500 0.7500 Ti
0.0000 0.0000 0.0000 Os
0.5000 0.5000 0.5000 Ru

---

Record 2
CdPdBr2 | the Alexandria database | GGA-PBE | relaxed; DOS at the Fermi energy = 3.2 states/eV/f.u.; space group = No. 166; formation energy without anion corrections = -0.161 eV per atom
1.0
2.0167 1.1644 8.2066
-2.0167 1.1644 8.2066
0.0000 -2.3287 8.2066
Cd Pd Br
1 1 2
direct
0.0000 0.0000 0.0000 Cd
0.5000 0.5000 0.5000 Pd
0.4007 0.4007 0.4007 Br
0.5993 0.5993 0.5993 Br

---

Record 3
LiPmCd4 | the Alexandria database | GGA-PBE | relaxed; energy of formation = -0.184 eV/atom; DOS at the Fermi energy = 5.1 states/eV/f.u.; space group = No. 216
1.0
0.0000 4.1621 4.1621
4.1621 0.0000 4.1621
4.1621 4.1621 0.0000
Li Pm Cd
1 1 4
direct
0.0000 0.0000 0.0000 Li
0.7500 0.7500 0.7500 Pm
0.3749 0.3749 0.3749 Cd
0.3749 0.3749 0.8754 Cd
0.3749 0.8754 0.3749 Cd
0.8754 0.3749 0.3749 Cd

---

Record 4
Ce9InGa2 | the Alexandria database | GGA-PBE | relaxed; energy of formation = -0.226 eV/atom; DOS at the Fermi energy = 36.1 states/eV/f.u.; space group = No. 123
1.0
4.6977 0.0000 0.0000
0.0000 4.6977 0.0000
0.0000 0.0000 14.0588
Ce In Ga
9 1 2
direct
0.0000 0.0000 0.0000 Ce
0.0000 0.0000 0.3367 Ce
0.0000 0.0000 0.6633 Ce
0.0000 0.5000 0.1751 Ce
0.0000 0.5000 0.5000 Ce
0.0000 0.5000 0.8249 Ce
0.5000 0.0000 0.1751 Ce
0.5000 0.0000 0.5000 Ce
0.5000 0.0000 0.8249 Ce
0.5000 0.5000 0.0000 In
0.5000 0.5000 0.3369 Ga
0.5000 0.5000 0.6631 Ga

---

Record 5
KCu3Cl | the Alexandria database | GGA-PBE | relaxed; DOS at the Fermi energy = 8.4 states/eV/f.u.; space group = No. 221; formation energy without anion corrections = 0.734 eV per atom
1.0
4.8723 0.0000 0.0000
0.0000 4.8723 0.0000
0.0000 0.0000 4.8723
K Cu Cl
1 3 1
direct
0.0000 0.0000 0.0000 K
0.0000 0.5000 0.5000 Cu
0.5000 0.0000 0.5000 Cu
0.5000 0.5000 0.0000 Cu
0.5000 0.5000 0.5000 Cl

---

Record 6
Ce6Rh3Pb | the Alexandria database | GGA-PBE | relaxed; energy of formation = -0.454 eV/atom; DOS at the Fermi energy = 24.2 states/eV/f.u.; space group = No. 36
1.0
5.5094 -6.8186 0.0000
5.5094 6.8186 0.0000
0.0000 0.0000 6.9235
Ce Rh Pb
12 6 2
direct
0.0063 0.9937 0.5000 Ce
0.0946 0.4811 0.5400 Ce
0.2355 0.7645 0.7555 Ce
0.2712 0.4075 0.9835 Ce
0.4075 0.2712 0.4835 Ce
0.4811 0.0946 0.0400 Ce
0.5189 0.9054 0.5400 Ce
0.5925 0.7288 0.9835 Ce
0.7288 0.5925 0.4835 Ce
0.7645 0.2355 0.2555 Ce
0.9054 0.5189 0.0400 Ce
0.9937 0.0063 0.0000 Ce
0.0985 0.2553 0.2575 Rh
0.2553 0.0985 0.7575 Rh
0.4398 0.5602 0.6727 Rh
0.5602 0.4398 0.1727 Rh
0.7447 0.9015 0.2575 Rh
0.9015 0.7447 0.7575 Rh
0.2245 0.7755 0.2342 Pb
0.7755 0.2245 0.7342 Pb

---

Record 7
MgTl2AsBr6 | the Alexandria database | GGA-PBE | relaxed; space group = No. 2; formation energy without anion corrections = -0.775 eV per atom
1.0
7.2134 0.0000 0.0000
0.2207 7.4068 0.0000
3.3536 3.4158 6.2890
Mg Tl As Br
1 2 1 6
direct
0.0000 0.0000 0.0000 Mg
0.2706 0.7731 0.4574 Tl
0.7294 0.2269 0.5426 Tl
0.5000 0.5000 0.0000 As
0.1415 0.6291 0.1262 Br
0.2392 0.1332 0.5983 Br
0.3135 0.1846 0.0191 Br
0.6865 0.8154 0.9809 Br
0.7608 0.8668 0.4017 Br
0.8585 0.3709 0.8738 Br

---

Record 8
BeGePbN2 | the Alexandria database | GGA-PBE | relaxed; DOS at the Fermi energy = 2.7 states/eV/f.u.; space group = No. 123; formation energy without anion corrections = 1.258 eV per atom
1.0
3.9912 0.0000 0.0000
0.0000 3.9912 0.0000
0.0000 0.0000 4.6281
Be Ge Pb N
1 1 1 2
direct
0.0000 0.0000 0.0000 Be
0.0000 0.0000 0.5000 Ge
0.5000 0.5000 0.0000 Pb
0.0000 0.5000 0.5000 N
0.5000 0.0000 0.5000 N

---

Record 9
CuAs4W | the Alexandria database | GGA-PBE | relaxed; energy of formation = 0.999 eV/atom; DOS at the Fermi energy = 3.3 states/eV/f.u.; space group = No. 216
1.0
0.0000 3.7713 3.7713
3.7713 0.0000 3.7713
3.7713 3.7713 0.0000
Cu As W
1 4 1
direct
0.0000 0.0000 0.0000 Cu
0.1271 0.6243 0.6243 As
0.6243 0.1271 0.6243 As
0.6243 0.6243 0.1271 As
0.6243 0.6243 0.6243 As
0.2500 0.2500 0.2500 W

---

Record 10
AcTbPr14 | the Alexandria database | GGA-PBE | relaxed; energy of formation = 0.013 eV/atom; DOS at the Fermi energy = 25.1 states/eV/f.u.; space group = No. 123
1.0
7.4334 0.0000 0.0000
0.0000 7.4334 0.0000
0.0000 0.0000 10.5435
Ac Tb Pr
1 1 14
direct
0.0000 0.0000 0.0000 Ac
0.5000 0.5000 0.0000 Tb
0.0000 0.0000 0.5000 Pr
0.0000 0.5000 0.0000 Pr
0.0000 0.5000 0.5000 Pr
0.2532 0.2532 0.2507 Pr
0.2532 0.2532 0.7493 Pr
0.2532 0.7468 0.2507 Pr
0.2532 0.7468 0.7493 Pr
0.5000 0.0000 0.0000 Pr
0.5000 0.0000 0.5000 Pr
0.5000 0.5000 0.5000 Pr
0.7468 0.2532 0.2507 Pr
0.7468 0.2532 0.7493 Pr
0.7468 0.7468 0.2507 Pr
0.7468 0.7468 0.7493 Pr

---

Record 11
TiInAs2Se | the Alexandria database | GGA-PBE | relaxed; DOS at the Fermi energy = 3.6 states/eV/f.u.; space group = No. 123; formation energy without anion corrections = -0.133 eV per atom
1.0
4.9760 0.0000 0.0000
0.0000 4.9760 0.0000
0.0000 0.0000 4.9647
Ti In As Se
1 1 2 1
direct
0.0000 0.0000 0.0000 Ti
0.5000 0.5000 0.5000 In
0.0000 0.5000 0.0000 As
0.5000 0.0000 0.0000 As
0.0000 0.0000 0.5000 Se

---

Record 12
AlCu2Sn2 | the Alexandria database | GGA-PBE | relaxed; energy of formation = 0.101 eV/atom; DOS at the Fermi energy = 2.0 states/eV/f.u.; space group = No. 127
1.0
6.7867 0.0000 0.0000
0.0000 6.7867 0.0000
0.0000 0.0000 4.0903
Al Cu Sn
2 4 4
direct
0.0000 0.0000 0.0000 Al
0.5000 0.5000 0.0000 Al
0.1320 0.3680 0.0000 Cu
0.3680 0.8680 0.0000 Cu
0.6320 0.1320 0.0000 Cu
0.8680 0.6320 0.0000 Cu
0.1737 0.6737 0.5000 Sn
0.3263 0.1737 0.5000 Sn
0.6737 0.8263 0.5000 Sn
0.8263 0.3263 0.5000 Sn

---

Record 13
HoMg2GaPd4 | the Alexandria database | GGA-PBE | relaxed; energy of formation = -0.746 eV/atom; DOS at the Fermi energy = 3.4 states/eV/f.u.; space group = No. 166
1.0
2.2934 1.3241 7.5334
-2.2934 1.3241 7.5334
0.0000 -2.6482 7.5334
Ho Mg Ga Pd
1 2 1 4
direct
0.0000 0.0000 0.0000 Ho
0.2468 0.2468 0.2468 Mg
0.7532 0.7532 0.7532 Mg
0.5000 0.5000 0.5000 Ga
0.1284 0.1284 0.1284 Pd
0.3864 0.3864 0.3864 Pd
0.6136 0.6136 0.6136 Pd
0.8716 0.8716 0.8716 Pd

---

Record 14
ErSiRu2 | the Alexandria database | GGA-PBE | relaxed; DOS at the Fermi energy = 2.0 states/eV/f.u.; space group = No. 166; formation energy without anion corrections = -0.210 eV per atom
1.0
1.7277 0.9975 6.8636
-1.7277 0.9975 6.8636
0.0000 -1.9950 6.8636
Er Si Ru
1 1 2
direct
0.0000 0.0000 0.0000 Er
0.5000 0.5000 0.5000 Si
0.2283 0.2283 0.2283 Ru
0.7717 0.7717 0.7717 Ru

---

Record 15
KAsPd3 | the Alexandria database | GGA-PBE | relaxed; energy of formation = -0.283 eV/atom; DOS at the Fermi energy = 2.0 states/eV/f.u.; space group = No. 12
1.0
5.8513 -2.9918 0.0000
5.8513 2.9918 0.0000
-0.1743 0.0000 5.6936
K As Pd
2 2 6
direct
0.1352 0.1352 0.4963 K
0.8648 0.8648 0.5037 K
0.3771 0.3771 0.7749 As
0.6229 0.6229 0.2251 As
0.0000 0.5000 0.0000 Pd
0.2298 0.7702 0.0000 Pd
0.4044 0.4044 0.3471 Pd
0.5000 0.0000 0.0000 Pd
0.5956 0.5956 0.6529 Pd
0.7702 0.2298 0.0000 Pd

---

Record 16
NbV2FeW | the Alexandria database | GGA-PBE | relaxed; energy of formation = 1.857 eV/atom; DOS at the Fermi energy = 12.5 states/eV/f.u.; space group = No. 123
1.0
4.4810 0.0000 0.0000
0.0000 4.4810 0.0000
0.0000 0.0000 4.8749
Nb V Fe W
1 2 1 1
direct
0.0000 0.0000 0.0000 Nb
0.0000 0.5000 0.5000 V
0.5000 0.0000 0.5000 V
0.5000 0.5000 0.0000 Fe
0.0000 0.0000 0.5000 W

---

Record 17
SrGa4Pt2Au | the Alexandria database | GGA-PBE | relaxed; energy of formation = -0.529 eV/atom; DOS at the Fermi energy = 2.7 states/eV/f.u.; space group = No. 166
1.0
2.1662 1.2507 9.6526
-2.1662 1.2507 9.6526
0.0000 -2.5014 9.6526
Sr Ga Pt Au
1 4 2 1
direct
0.0000 0.0000 0.0000 Sr
0.1256 0.1256 0.1256 Ga
0.4043 0.4043 0.4043 Ga
0.5957 0.5957 0.5957 Ga
0.8744 0.8744 0.8744 Ga
0.2474 0.2474 0.2474 Pt
0.7526 0.7526 0.7526 Pt
0.5000 0.5000 0.5000 Au

---

Record 18
Tl2CdGaN | the Alexandria database | GGA-PBE | relaxed; DOS at the Fermi energy = 2.4 states/eV/f.u.; space group = No. 123; formation energy without anion corrections = 1.151 eV per atom
1.0
5.5804 0.0000 0.0000
0.0000 5.5804 0.0000
0.0000 0.0000 5.1199
Tl Cd Ga N
2 1 1 1
direct
0.0000 0.5000 0.0000 Tl
0.5000 0.0000 0.0000 Tl
0.0000 0.0000 0.5000 Cd
0.0000 0.0000 0.0000 Ga
0.5000 0.5000 0.5000 N

---

Record 19
Ca2Mg3Rh | the Alexandria database | GGA-PBE | relaxed; energy of formation = -0.215 eV/atom; DOS at the Fermi energy = 5.2 states/eV/f.u.; space group = No. 12
1.0
4.9919 -2.9844 0.0000
4.9919 2.9844 0.0000
-3.1942 0.0000 4.8124
Ca Mg Rh
2 3 1
direct
0.1284 0.1284 0.3721 Ca
0.8716 0.8716 0.6279 Ca
0.0000 0.5000 0.0000 Mg
0.5000 0.0000 0.0000 Mg
0.5000 0.5000 0.5000 Mg
0.5000 0.5000 0.0000 Rh

---

Record 20
TiSbN2O | the Alexandria database | GGA-PBE | relaxed; DOS at the Fermi energy = 3.3 states/eV/f.u.; space group = No. 123; formation energy without anion corrections = -0.359 eV per atom
1.0
4.0212 0.0000 0.0000
0.0000 4.0212 0.0000
0.0000 0.0000 3.8258
Ti Sb N O
1 1 2 1
direct
0.0000 0.0000 0.0000 Ti
0.5000 0.5000 0.5000 Sb
0.0000 0.5000 0.0000 N
0.5000 0.0000 0.0000 N
0.0000 0.0000 0.5000 O